[1]
{"formula": "CaMg3Tl", "functional": "PBE", "state": "optimized geometry", "cell": [[5.446, 0.000, 0.000], [0.000, 5.446, 0.000], [0.000, 0.000, 5.446]], "species": ["Ca", "Mg", "Mg", "Mg", "Tl"], "frac_coords": [[0.000, 0.000, 0.000], [0.000, 0.500, 0.500], [0.500, 0.000, 0.500], [0.500, 0.500, 0.000], [0.500, 0.500, 0.500]], "total_energy_ev_per_atom": -1.61, "magmom_total_mub_per_cell": 0.00, "e_above_lowest_polymorph_ev_per_atom": 0.309, "formation_enthalpy_0k_ev_per_atom": 0.2159, "spacegroup": "No. 221"}

=====

[2]
{"formula": "MgZnIn", "functional": "PBE", "state": "optimized geometry", "cell": [[0.000, 3.292, 3.292], [3.292, 0.000, 3.292], [3.292, 3.292, 0.000]], "species": ["Mg", "Zn", "In"], "frac_coords": [[0.000, 0.000, 0.000], [0.500, 0.500, 0.500], [0.750, 0.750, 0.750]], "total_energy_ev_per_atom": -1.78, "magmom_total_mub_per_cell": 0.00, "formation_enthalpy_0k_ev_per_atom": 0.0894, "spacegroup": "No. 216"}

=====

[3]
{"formula": "Cu2Sb2As", "functional": "PBE", "state": "optimized geometry", "cell": [[8.061, 0.000, 0.000], [0.000, 8.061, 0.000], [0.000, 0.000, 3.084]], "species": ["Cu", "Cu", "Cu", "Cu", "Sb", "Sb", "Sb", "Sb", "As", "As"], "frac_coords": [[0.108, 0.392, 0.000], [0.392, 0.892, 0.000], [0.608, 0.108, 0.000], [0.892, 0.608, 0.000], [0.191, 0.691, 0.500], [0.309, 0.191, 0.500], [0.691, 0.809, 0.500], [0.809, 0.309, 0.500], [0.000, 0.000, 0.500], [0.500, 0.500, 0.500]], "total_energy_ev_per_atom": -3.96, "magmom_total_mub_per_cell": 0.00, "e_above_lowest_polymorph_ev_per_atom": 0.023, "e_form_raw_kj_per_mol_atoms": 25, "spacegroup": "No. 127"}

=====

[4]
{"formula": "LiAcNdIn", "functional": "PBE", "state": "optimized geometry", "cell": [[0.000, 3.965, 3.965], [3.965, 0.000, 3.965], [3.965, 3.965, 0.000]], "species": ["Li", "Ac", "Nd", "In"], "frac_coords": [[0.000, 0.000, 0.000], [0.250, 0.250, 0.250], [0.750, 0.750, 0.750], [0.500, 0.500, 0.500]], "total_energy_ev_per_atom": -3.61, "magmom_total_mub_per_cell": 0.00, "formation_enthalpy_0k_ev_per_atom": -0.2275, "spacegroup": "No. 216"}

=====

[5]
{"formula": "NdCdBiAu", "functional": "PBE", "state": "optimized geometry", "cell": [[0.000, 3.746, 3.746], [3.746, 0.000, 3.746], [3.746, 3.746, 0.000]], "species": ["Nd", "Cd", "Bi", "Au"], "frac_coords": [[0.000, 0.000, 0.000], [0.500, 0.500, 0.500], [0.250, 0.250, 0.250], [0.750, 0.750, 0.750]], "total_energy_ev_per_atom": -3.62, "magmom_total_mub_per_cell": 0.00, "formation_enthalpy_0k_ev_per_atom": -0.4072, "spacegroup": "No. 216"}

=====

[6]
{"formula": "Ca2Ga12Co", "functional": "PBE", "state": "optimized geometry", "cell": [[5.954, 0.000, 0.000], [0.000, 5.954, 0.000], [0.000, 0.000, 16.094]], "species": ["Ca", "Ca", "Ca", "Ca", "Ga", "Ga", "Ga", "Ga", "Ga", "Ga", "Ga", "Ga", "Ga", "Ga", "Ga", "Ga", "Ga", "Ga", "Ga", "Ga", "Ga", "Ga", "Ga", "Ga", "Ga", "Ga", "Ga", "Ga", "Co", "Co"], "frac_coords": [[0.250, 0.750, 0.246], [0.250, 0.750, 0.754], [0.750, 0.250, 0.246], [0.750, 0.250, 0.754], [0.000, 0.000, 0.082], [0.000, 0.000, 0.918], [0.000, 0.500, 0.082], [0.000, 0.500, 0.918], [0.070, 0.570, 0.429], [0.070, 0.930, 0.571], [0.250, 0.250, 0.185], [0.250, 0.250, 0.339], [0.250, 0.250, 0.661], [0.250, 0.250, 0.815], [0.430, 0.570, 0.571], [0.430, 0.930, 0.429], [0.500, 0.000, 0.082], [0.500, 0.000, 0.918], [0.500, 0.500, 0.082], [0.500, 0.500, 0.918], [0.570, 0.070, 0.571], [0.570, 0.430, 0.429], [0.750, 0.750, 0.185], [0.750, 0.750, 0.339], [0.750, 0.750, 0.661], [0.750, 0.750, 0.815], [0.930, 0.070, 0.429], [0.930, 0.430, 0.571], [0.250, 0.750, 0.000], [0.750, 0.250, 0.000]], "total_energy_ev_per_atom": -3.46, "magmom_total_mub_per_cell": 0.00, "formation_enthalpy_0k_ev_per_atom": -0.2931, "spacegroup": "No. 125"}

=====

[7]
{"formula": "Nd4Er6Th", "functional": "PBE", "state": "optimized geometry", "cell": [[2.873, -4.839, 0.000], [2.873, 4.839, 0.000], [0.000, 0.000, 25.850]], "species": ["Nd", "Nd", "Nd", "Nd", "Nd", "Nd", "Nd", "Nd", "Er", "Er", "Er", "Er", "Er", "Er", "Er", "Er", "Er", "Er", "Er", "Er", "Th", "Th"], "frac_coords": [[0.025, 0.975, 0.623], [0.025, 0.975, 0.877], [0.341, 0.659, 0.544], [0.341, 0.659, 0.956], [0.659, 0.341, 0.044], [0.659, 0.341, 0.456], [0.975, 0.025, 0.123], [0.975, 0.025, 0.377], [0.000, 0.000, 0.000], [0.000, 0.000, 0.500], [0.023, 0.977, 0.750], [0.315, 0.685, 0.103], [0.315, 0.685, 0.397], [0.356, 0.644, 0.684], [0.356, 0.644, 0.816], [0.644, 0.356, 0.184], [0.644, 0.356, 0.316], [0.685, 0.315, 0.603], [0.685, 0.315, 0.897], [0.977, 0.023, 0.250], [0.313, 0.687, 0.250], [0.687, 0.313, 0.750]], "total_energy_ev_per_atom": -4.77, "magmom_total_mub_per_cell": 0.00, "formation_enthalpy_0k_ev_per_atom": 0.1280, "spacegroup": "No. 63"}

=====

[8]
{"formula": "KNaEuHg", "functional": "PBE", "state": "optimized geometry", "cell": [[0.000, 4.200, 4.200], [4.200, 0.000, 4.200], [4.200, 4.200, 0.000]], "species": ["K", "Na", "Eu", "Hg"], "frac_coords": [[0.000, 0.000, 0.000], [0.750, 0.750, 0.750], [0.500, 0.500, 0.500], [0.250, 0.250, 0.250]], "total_energy_ev_per_atom": -3.31, "magmom_total_mub_per_cell": 7.75, "formation_enthalpy_0k_ev_per_atom": -0.0596, "spacegroup": "No. 216"}

=====

[9]
{"formula": "LaTmCoNi", "functional": "PBE", "state": "optimized geometry", "cell": [[0.000, 3.416, 3.416], [3.416, 0.000, 3.416], [3.416, 3.416, 0.000]], "species": ["La", "Tm", "Co", "Ni"], "frac_coords": [[0.000, 0.000, 0.000], [0.500, 0.500, 0.500], [0.750, 0.750, 0.750], [0.250, 0.250, 0.250]], "total_energy_ev_per_atom": -5.75, "magmom_total_mub_per_cell": 0.01, "formation_enthalpy_0k_ev_per_atom": -0.1800, "spacegroup": "No. 216"}

=====

[10]
{"formula": "YHo5Er4", "functional": "PBE", "state": "optimized geometry", "cell": [[-5.057, 5.057, 3.130], [5.057, -5.057, 3.130], [5.057, 5.057, -3.130]], "species": ["Y", "Ho", "Ho", "Ho", "Ho", "Ho", "Er", "Er", "Er", "Er"], "frac_coords": [[0.000, 0.000, 0.000], [0.459, 0.459, 0.000], [0.492, 0.870, 0.911], [0.581, 0.492, 0.621], [0.870, 0.960, 0.379], [0.960, 0.581, 0.089], [0.178, 0.880, 0.603], [0.277, 0.575, 0.397], [0.575, 0.178, 0.298], [0.880, 0.277, 0.702]], "total_energy_ev_per_atom": -4.45, "magmom_total_mub_per_cell": 0.01, "formation_enthalpy_0k_ev_per_atom": 0.3143, "spacegroup": "No. 79"}

=====

[11]
{"formula": "NdDyAsS", "functional": "PBE", "state": "optimized geometry", "cell": [[2.011, 1.161, 7.090], [-2.011, 1.161, 7.090], [0.000, -2.322, 7.090]], "species": ["Nd", "Dy", "As", "S"], "frac_coords": [[0.000, 0.000, 0.000], [0.173, 0.173, 0.173], [0.582, 0.582, 0.582], [0.759, 0.759, 0.759]], "total_energy_ev_per_atom": -6.23, "magmom_total_mub_per_cell": 0.31, "e_form_raw_kj_per_mol_atoms": -163, "spacegroup": "No. 160"}

=====

[12]
{"formula": "InFeSi2", "functional": "PBE", "state": "optimized geometry", "cell": [[3.742, 0.000, 0.000], [0.000, 4.025, 0.000], [-1.001, 0.000, 4.614]], "species": ["In", "Fe", "Si", "Si"], "frac_coords": [[0.000, 0.000, 0.000], [0.500, 0.000, 0.500], [0.465, 0.500, 0.742], [0.535, 0.500, 0.258]], "total_energy_ev_per_atom": -5.27, "magmom_total_mub_per_cell": 0.99, "e_form_raw_kj_per_mol_atoms": 24, "spacegroup": "No. 10"}

=====

Repeat the first record exactly.
{"formula": "CaMg3Tl", "functional": "PBE", "state": "optimized geometry", "cell": [[5.446, 0.000, 0.000], [0.000, 5.446, 0.000], [0.000, 0.000, 5.446]], "species": ["Ca", "Mg", "Mg", "Mg", "Tl"], "frac_coords": [[0.000, 0.000, 0.000], [0.000, 0.500, 0.500], [0.500, 0.000, 0.500], [0.500, 0.500, 0.000], [0.500, 0.500, 0.500]], "total_energy_ev_per_atom": -1.61, "magmom_total_mub_per_cell": 0.00, "e_above_lowest_polymorph_ev_per_atom": 0.309, "formation_enthalpy_0k_ev_per_atom": 0.2159, "spacegroup": "No. 221"}